(1)
First-principles (PBE+U) data for a relaxed structure of LiVRuO4, as listed in Alexandria.

Symmetry = Cmcm
ρ = 4.75 g/cm³
Electronic total energy = -6.97 eV/atom

The structure in POSCAR format:
```
LiVRuO4
1.0
-3.159 4.047 -0.716
-1.748 -4.430 -2.046
-2.965 -1.349 5.454
V O Li Ru
2 8 2 2
Direct
0.149 0.851 0.250
0.851 0.149 0.750
0.730 0.762 0.750
0.733 0.267 0.971
0.238 0.270 0.750
0.267 0.733 0.471
0.733 0.267 0.529
0.267 0.733 0.029
0.270 0.238 0.250
0.762 0.730 0.250
0.167 0.833 0.750
0.833 0.167 0.250
0.500 0.500 0.500
0.500 0.500 0.000
```

(2)
First-principles (PBE+U) data for a relaxed structure of Li2VRuO6, as listed in Alexandria.

Symmetry = P4mm
ρ = 3.87 g/cm³
Electronic total energy = -6.52 eV/atom

The structure in POSCAR format:
```
Li2VRuO6
1.0
3.825 0.000 0.000
0.000 5.417 0.000
0.000 0.000 5.417
O Ru Li V
6 1 2 1
Direct
0.716 0.244 0.756
0.716 0.756 0.756
0.204 0.500 0.500
0.201 0.000 0.000
0.716 0.244 0.244
0.716 0.756 0.244
0.699 0.500 0.500
0.920 0.500 0.000
0.920 0.000 0.500
0.639 0.000 0.000
```

(3)
First-principles (PBE+U) data for a relaxed structure of LiRuWO6, as listed in Alexandria.

Symmetry = P4_2nm
ρ = 6.35 g/cm³
Electronic total energy = -6.88 eV/atom

The structure in POSCAR format:
```
LiRuWO6
1.0
4.756 0.000 0.000
0.000 4.756 0.000
0.000 0.000 8.971
O W Ru Li
12 2 2 2
Direct
0.708 0.708 0.678
0.316 0.316 0.001
0.816 0.184 0.501
0.293 0.293 0.319
0.684 0.684 0.001
0.792 0.208 0.178
0.707 0.707 0.319
0.184 0.816 0.501
0.793 0.207 0.819
0.208 0.792 0.178
0.207 0.793 0.819
0.292 0.292 0.678
0.500 0.500 0.173
0.000 0.000 0.673
0.500 0.500 0.829
0.000 0.000 0.329
0.000 0.000 0.003
0.500 0.500 0.503
```